The following is a DFT calculation (PBE) of crystalline LaReOs2 at its relaxed geometry. Values from VASP.

Structure (Quantum ESPRESSO input):
```
&SYSTEM
  ibrav = 0, nat = 4, ntyp = 3
/
ATOMIC_SPECIES
La 138.91 La.upf
Re 186.21 Re.upf
Os 190.23 Os.upf
CELL_PARAMETERS angstrom
1.475 -2.398 0.000
1.475 2.398 0.000
0.000 0.000 9.828
ATOMIC_POSITIONS angstrom
La 0.000 0.000 0.000
Re 1.475 0.000 7.037
Os 0.000 0.000 4.864
Os 1.475 0.000 2.639
```

Space group ... Cmm2 (35)
N(E_F) ... 4.61 states/eV per cell
E_form ... 0.7726 eV/atom

***

The following is a DFT calculation (PBE) of crystalline La3ReOs at its relaxed geometry. Values from VASP.

Structure (Quantum ESPRESSO input):
```
&SYSTEM
  ibrav = 0, nat = 5, ntyp = 3
/
ATOMIC_SPECIES
La 138.91 La.upf
Re 186.21 Re.upf
Os 190.23 Os.upf
CELL_PARAMETERS angstrom
5.460 0.000 0.000
0.000 5.460 0.000
0.000 0.000 5.460
ATOMIC_POSITIONS angstrom
La 0.000 0.000 2.730
La 0.000 2.730 0.000
La 2.730 0.000 0.000
Re 2.730 2.730 2.730
Os 0.000 0.000 0.000
```

Space group ... Pm-3m (221)
N(E_F) ... 10.31 states/eV per cell
E_form ... 0.8162 eV/atom

***

The following is a DFT calculation (PBE) of crystalline LaReOs2 at its relaxed geometry. Values from VASP.

Structure (Quantum ESPRESSO input):
```
&SYSTEM
  ibrav = 0, nat = 4, ntyp = 3
/
ATOMIC_SPECIES
La 138.91 La.upf
Re 186.21 Re.upf
Os 190.23 Os.upf
CELL_PARAMETERS angstrom
1.425 0.823 9.929
-1.425 0.823 9.929
0.000 -1.645 9.929
ATOMIC_POSITIONS angstrom
La 0.000 0.000 0.000
Re 0.000 0.000 14.894
Os 0.000 0.000 7.081
Os 0.000 0.000 22.707
```

Space group ... R-3m (166)
N(E_F) ... 3.97 states/eV per cell
E_form ... 0.5300 eV/atom